1.
PBE Ti2In2Ag, relaxed; calculated total energy = -23.4 eV per formula unit; formation energy from the elements = 0.142 eV per atom
1.0
-0.836 -5.074 -6.441
5.060 -5.414 3.608
-2.406 -1.338 1.366
In Ag Ti
4 2 4
direct
0.187 0.687 0.500
0.313 0.187 0.500
0.813 0.313 0.500
0.687 0.813 0.500
0.000 0.000 0.000
0.500 0.500 0.000
0.611 0.111 0.000
0.889 0.611 0.000
0.389 0.889 0.000
0.111 0.389 0.000

=====

2.
PBE Ti4InAg, relaxed; calculated total energy = -37.9 eV per formula unit; formation energy from the elements = -0.116 eV per atom
1.0
3.796 0.000 -1.287
0.000 4.027 0.000
0.248 0.000 6.971
In Ti Ag
1 4 1
direct
0.500 0.500 0.000
0.825 0.500 0.649
0.324 0.000 0.647
0.676 0.000 0.353
0.175 0.500 0.351
0.000 0.000 0.000

=====

3.
PBE TiIn2Ag, relaxed; calculated total energy = -16.1 eV per formula unit; formation energy from the elements = 0.034 eV per atom
1.0
3.124 0.000 0.000
1.562 2.706 0.000
1.562 0.902 9.605
In Ag Ti
2 1 1
direct
0.749 0.749 0.753
0.251 0.251 0.247
0.500 0.500 0.500
0.000 0.000 0.000

=====

Q: Number 3 is which compound?
A: TiIn2Ag

=====

Q: What is the calculated total energy in the third record?
A: -16.1 eV per formula unit

=====

Q: Which value of calculated total energy does entry 3 give?
A: -16.1 eV per formula unit

=====

Q: Which of these has the highest calculated total energy?
A: TiIn2Ag